Record 1
5
Lattice="-1.8174 1.1114 5.1738 2.4845 -4.6508 1.8718 4.6723 2.9053 1.0171" Properties=species:S:1:pos:R:3 comment="PBE AcBi3Au, optimized geometry" crystal_system=cubic delta_e_f_ev_per_atom=-0.1112 relative_energy_ev_per_fu=1.19 dft_energy_ev_per_fu=-19.58 pbc="T T T"
Bi -0.9087 0.5557 2.5869
Bi 1.2422 -2.3254 0.9359
Au 0.0000 0.0000 0.0000
Ac 2.6697 -0.3170 4.0314
Bi 2.3362 1.4527 0.5086

***

Record 2
9
Lattice="4.7620 0.0000 1.2703 1.9363 5.9664 2.3023 0.0061 0.3635 9.5379" Properties=species:S:1:pos:R:3 comment="PBE Ac3Bi2Au4, optimized geometry" crystal_system=monoclinic delta_e_f_ev_per_atom=-0.7845 dft_energy_ev_per_fu=-40.26 pbc="T T T"
Bi 3.0436 0.4389 7.7121
Au 2.0123 2.7202 2.0173
Ac 0.0000 0.0000 0.0000
Au 4.6920 3.6097 11.0933
Au 0.7879 1.9862 6.6071
Bi 3.6608 5.8910 5.3984
Ac 2.8698 3.9935 8.3636
Au 5.9164 4.3437 6.5034
Ac 3.8346 2.3364 4.7469

***

Record 3
4
Lattice="-1.2856 -2.5013 -3.5403 4.1991 0.1980 -1.6647 1.5217 -5.3193 3.2057" Properties=species:S:1:pos:R:3 comment="PBE AcBi2Au, optimized geometry" crystal_system=tetragonal delta_e_f_ev_per_atom=-0.2902 relative_energy_ev_per_fu=1.30 dft_energy_ev_per_fu=-16.31 pbc="T T T"
Ac 2.2176 -3.8113 -0.9996
Bi 0.3787 -1.3239 0.7979
Bi 1.1430 -3.9954 2.4078
Au 1.4568 -1.1517 -2.6025

***

Record 4
10
Lattice="4.3634 0.0000 0.0000 0.0000 4.3634 0.0000 0.0000 0.0000 12.9995" Properties=species:S:1:pos:R:3 comment="PBE Ac2BiAu7, optimized geometry" crystal_system=tetragonal delta_e_f_ev_per_atom=-0.5245 dft_energy_ev_per_fu=-40.28 pbc="T T T"
Bi 2.1817 2.1817 0.0000
Au 0.0000 0.0000 6.4998
Au 0.0000 2.1817 11.0080
Au 2.1817 2.1817 6.4998
Ac 2.1817 0.0000 9.5485
Au 0.0000 0.0000 0.0000
Au 2.1817 0.0000 4.6972
Au 2.1817 0.0000 1.9916
Au 0.0000 2.1817 8.3023
Ac 0.0000 2.1817 3.4510

***

Number 1: M_tot 0.0 μB per formula unit. Number 2: M_tot 0.0 μB per formula unit. Number 3: M_tot 0.0 μB per formula unit. Number 4: M_tot 0.0 μB per formula unit.